First-principles (GGA+U) data for AgWO4 after structural relaxation, as listed in Alexandria.

abc: 8.3020 5.3708 7.5687
angles: 90.00 103.11 90.00
With the nearest neighbours (Å) after each atom.
Positions (direct):
Ag (0.1407, 0.2469, 0.4064)  4 O 2.21-2.44
Ag (0.1407, 0.2531, 0.9064)  4 O 2.21-2.44
Ag (0.8593, 0.7469, 0.0936)  4 O 2.21-2.44
Ag (0.8593, 0.7531, 0.5936)  4 O 2.21-2.44
W (0.3274, 0.7470, 0.2051)  6 O 1.91-1.96
W (0.3274, 0.7530, 0.7051)  6 O 1.91-1.96
W (0.6726, 0.2470, 0.2949)  6 O 1.91-1.96
W (0.6726, 0.2530, 0.7949)  6 O 1.91-1.96
O (0.1503, 0.5021, 0.1779)  1 W 1.95
O (0.1503, 0.9979, 0.6779)  1 W 1.95
O (0.1657, 0.0117, 0.1475)  1 W 1.94
O (0.1657, 0.4883, 0.6475)  1 W 1.94
O (0.3254, 0.6964, 0.9548)  2 W 1.91-1.92
O (0.3254, 0.8036, 0.4548)  2 W 1.91-1.92
O (0.4916, 0.0144, 0.7786)  2 W 1.95-1.96
O (0.4916, 0.4856, 0.2786)  2 W 1.95-1.96
O (0.5084, 0.5144, 0.7214)  2 W 1.95-1.96
O (0.5084, 0.9856, 0.2214)  2 W 1.95-1.96
O (0.6746, 0.1964, 0.5452)  2 W 1.91-1.92
O (0.6746, 0.3036, 0.0452)  2 W 1.91-1.92
O (0.8343, 0.5117, 0.3525)  1 W 1.94
O (0.8343, 0.9883, 0.8525)  1 W 1.94
O (0.8497, 0.0021, 0.3221)  1 W 1.95
O (0.8497, 0.4979, 0.8221)  1 W 1.95

Calculated values
Its space-group type is P2_1/c. For the total energy, the calculation gives -6.225 eV per atom. The density of states at the Fermi level comes out at 0.586 states/eV per atom. The theoretical density comes out at 7.188 g/cm3.